1.
A plane-wave DFT calculation with PBEsol was carried out for KNa2AlMo after structural relaxation.

a = 4.7629 Å, b = 4.7629 Å, c = 5.1253 Å
α = 90.00°, β = 90.00°, γ = 90.00°
Closest atoms and distances in Å follow each position.
Space group P4/mmm (No. 123)
Asymmetric unit:
K 0.0000 0.0000 0.0000 x1  4 Na 2.38, 2 Mo 2.56
Na 0.0000 0.5000 0.0000 x2  2 K 2.38
Al 0.5000 0.5000 0.5000 x1  4 Mo 3.37, 8 Na 3.50
Mo 0.0000 0.0000 0.5000 x1  2 K 2.56

Output
ΔH_f (0 K) = 1.773 eV/atom
Total magnetic moment = 0.132 μB/atom
Calculated density = 2.97 g/cm³



2.
A plane-wave DFT calculation with PBEsol was carried out for ScBe4Tc after structural relaxation.

a = 6.3790 Å, b = 6.3790 Å, c = 6.3790 Å
α = 90.00°, β = 90.00°, γ = 90.00°
Closest atoms and distances in Å follow each position.
Space group F-43m (No. 216)
Asymmetric unit:
Sc 0.0000 0.0000 0.0000 x4  12 Be 2.65, 4 Tc 2.76
Be 0.1233 0.1233 0.3767 x16  6 Be 2.23-2.29
Tc 0.2500 0.2500 0.7500 x4  12 Be 2.64, 4 Sc 2.76

Output
ΔH_f (0 K) = -0.201 eV/atom
Total magnetic moment = 0.111 μB/atom
Calculated density = 4.58 g/cm³



3.
A plane-wave DFT calculation with PBEsol was carried out for AgTeN2O after structural relaxation.

a = 3.9874 Å, b = 3.9874 Å, c = 3.9166 Å
α = 90.00°, β = 90.00°, γ = 90.00°
Closest atoms and distances in Å follow each position.
Space group P4/mmm (No. 123)
Asymmetric unit:
Ag 0.0000 0.0000 0.0000 x1  8 N 2.79, 4 O 2.82
Te 0.5000 0.5000 0.5000 x1  2 O 1.96, 4 N 1.99
N 0.0000 0.5000 0.5000 x2  2 Te 1.99
O 0.5000 0.5000 0.0000 x1  2 Te 1.96

Output
Raw total energy = -0.35566 Ry per atom
Total magnetic moment = 0.164 μB/atom
Calculated density = 7.45 g/cm³



4.
A plane-wave DFT calculation with PBEsol was carried out for MgBeHg2 after structural relaxation.

a = 3.1972 Å, b = 3.1972 Å, c = 6.8174 Å
α = 90.00°, β = 90.00°, γ = 90.00°
Closest atoms and distances in Å follow each position.
Space group P4/mmm (No. 123)
Asymmetric unit:
Mg 0.0000 0.0000 0.0000 x1  8 Hg 2.96, 4 Mg 3.20
Be 0.0000 0.0000 0.5000 x1  8 Hg 2.71
Hg 0.5000 0.5000 0.2800 x2  4 Be 2.71, 4 Mg 2.96, 1 Hg 3.00

Output
ΔH_f (0 K) = 0.089 eV/atom
Total magnetic moment = 0.000 μB/atom
Energy above the most stable polymorph in this dataset = 0.00 kcal/mol of atoms
Calculated density = 10.35 g/cm³



5.
A plane-wave DFT calculation with PBEsol was carried out for Cd2In2Sn after structural relaxation.

a = 4.0968 Å, b = 4.0968 Å, c = 15.0184 Å
α = 90.00°, β = 90.00°, γ = 90.00°
Closest atoms and distances in Å follow each position.
Space group I4/mmm (No. 139)
Asymmetric unit:
Cd 0.0000 0.5000 0.2500 x4  4 Cd 2.90, 4 In 3.05
In 0.0000 0.0000 0.0994 x4  1 In 2.98, 4 Cd 3.05, 4 Sn 3.26
Sn 0.0000 0.0000 0.5000 x2  8 In 3.26

Output
ΔH_f (0 K) = 0.120 eV/atom
Total magnetic moment = 0.000 μB/atom
Calculated density = 7.55 g/cm³



6.
A plane-wave DFT calculation with PBEsol was carried out for CdCu3 after structural relaxation.

a = 3.7788 Å, b = 3.8350 Å, c = 7.3414 Å
α = 90.00°, β = 90.00°, γ = 90.00°
Closest atoms and distances in Å follow each position.
Space group Immm (No. 71)
Asymmetric unit:
Cd 0.0000 0.0000 0.0000 x2  12 Cu 2.64-2.69
Cu 0.0000 0.0000 0.5000 x2  8 Cu 2.63-2.66, 4 Cd 2.69
Cu 0.0000 0.5000 0.2487 x4  8 Cu 2.63-2.69, 4 Cd 2.64-2.65

Output
ΔH_f (0 K) = 0.071 eV/atom
Total magnetic moment = 0.000 μB/atom
Calculated density = 9.46 g/cm³



7.
A plane-wave DFT calculation with PBEsol was carried out for SrTc2As after structural relaxation.

a = 4.5222 Å, b = 4.5222 Å, c = 6.8365 Å
α = 90.00°, β = 90.00°, γ = 90.00°
Closest atoms and distances in Å follow each position.
Space group I-4m2 (No. 119)
Asymmetric unit:
Sr 0.0000 0.0000 0.0000 x2  4 As 2.83, 4 Tc 2.83
Tc 0.0000 0.0000 0.5000 x2  4 As 2.83, 4 Tc 2.83
Tc 0.0000 0.5000 0.7500 x2  4 Tc 2.83, 4 Sr 2.83
As 0.0000 0.5000 0.2500 x2  4 Tc 2.83, 4 Sr 2.83

Output
ΔH_f (0 K) = 0.604 eV/atom
Total magnetic moment = 0.001 μB/atom
Calculated density = 8.52 g/cm³



8.
A plane-wave DFT calculation with PBEsol was carried out for DyAlSi after structural relaxation.

a = 4.0438 Å, b = 4.0438 Å, c = 14.4209 Å
α = 90.00°, β = 90.00°, γ = 90.00°
Closest atoms and distances in Å follow each position.
Space group I4_1md (No. 109)
Asymmetric unit:
Dy 0.0000 0.0000 0.0000 x4  6 Si 3.08-3.18, 6 Al 3.11-3.13
Al 0.0000 0.0000 0.5842 x4  3 Si 2.37
Si 0.0000 0.0000 0.4199 x4  3 Al 2.37

Output
Raw total energy = -0.40965 Ry per atom
Total magnetic moment = 0.000 μB/atom
Calculated density = 6.13 g/cm³



9.
A plane-wave DFT calculation with PBEsol was carried out for MgSb5 after structural relaxation.

a = 4.2608 Å, b = 18.7944 Å, c = 4.0487 Å
α = 90.00°, β = 90.00°, γ = 90.00°
Closest atoms and distances in Å follow each position.
Space group Cmmm (No. 65)
Asymmetric unit:
Mg 0.0000 0.0000 0.0000 x2  8 Sb 2.94-3.23
Sb 0.0000 0.1907 0.5000 x4  6 Sb 3.08-3.16
Sb 0.0000 0.3708 0.0000 x4  6 Sb 3.16, 2 Mg 3.23
Sb 0.0000 0.5000 0.5000 x2  4 Mg 2.94, 4 Sb 3.16

Output
Raw total energy = -0.29592 Ry per atom
Total magnetic moment = 0.000 μB/atom
Calculated density = 6.49 g/cm³



10.
A plane-wave DFT calculation with PBEsol was carried out for Be2Ni2Pd after structural relaxation.

a = 6.1629 Å, b = 6.1629 Å, c = 2.6192 Å
α = 90.00°, β = 90.00°, γ = 90.00°
Closest atoms and distances in Å follow each position.
Space group P4/mbm (No. 127)
Asymmetric unit:
Be 0.1361 0.3639 0.0000 x4  6 Ni 2.22-2.24, 1 Be 2.37, 2 Pd 2.39
Ni 0.1551 0.6551 0.5000 x4  6 Be 2.22-2.24
Pd 0.0000 0.0000 0.0000 x2  4 Be 2.39, 2 Pd 2.62, 8 Ni 2.67

Output
ΔH_f (0 K) = -0.349 eV/atom
Total magnetic moment = 0.000 μB/atom
Calculated density = 8.07 g/cm³



11.
A plane-wave DFT calculation with PBEsol was carried out for MgZr2Te after structural relaxation.

a = 3.8505 Å, b = 4.7971 Å, c = 9.2510 Å
α = 90.00°, β = 90.00°, γ = 90.00°
Closest atoms and distances in Å follow each position.
Space group Immm (No. 71)
Asymmetric unit:
Mg 0.0000 0.0000 0.0000 x2  8 Zr 3.03-3.32, 4 Te 3.08
Zr 0.0000 0.5000 0.2474 x4  4 Te 2.99-3.35, 4 Mg 3.03-3.32, 4 Zr 3.08
Te 0.0000 0.0000 0.5000 x2  8 Zr 2.99-3.35, 4 Mg 3.08

Output
Total magnetic moment = 0.000 μB/atom
Energy above the most stable polymorph in this dataset = 0.37 kcal/mol of atoms
Calculated density = 6.50 g/cm³



12.
A plane-wave DFT calculation with PBEsol was carried out for CsBe2TlPt after structural relaxation.

a = 4.6768 Å, b = 4.6768 Å, c = 5.2223 Å
α = 90.00°, β = 90.00°, γ = 90.00°
Closest atoms and distances in Å follow each position.
Space group P4/mmm (No. 123)
Asymmetric unit:
Cs 0.0000 0.0000 0.0000 x1  4 Tl 3.31, 8 Be 3.51
Be 0.0000 0.5000 0.5000 x2  2 Pt 2.34
Tl 0.5000 0.5000 0.0000 x1  2 Pt 2.61
Pt 0.5000 0.5000 0.5000 x1  4 Be 2.34, 2 Tl 2.61

Output
ΔH_f (0 K) = 0.218 eV/atom
Total magnetic moment = 0.000 μB/atom
Calculated density = 8.00 g/cm³



What did the second record say?
A plane-wave DFT calculation with PBEsol was carried out for ScBe4Tc after structural relaxation.

a = 6.3790 Å, b = 6.3790 Å, c = 6.3790 Å
α = 90.00°, β = 90.00°, γ = 90.00°
Closest atoms and distances in Å follow each position.
Space group F-43m (No. 216)
Asymmetric unit:
Sc 0.0000 0.0000 0.0000 x4  12 Be 2.65, 4 Tc 2.76
Be 0.1233 0.1233 0.3767 x16  6 Be 2.23-2.29
Tc 0.2500 0.2500 0.7500 x4  12 Be 2.64, 4 Sc 2.76

Output
ΔH_f (0 K) = -0.201 eV/atom
Total magnetic moment = 0.111 μB/atom
Calculated density = 4.58 g/cm³



> Which of these has the highest calculated density?

MgBeHg2



> The lowest calculated density belongs to which entry?

KNa2AlMo



> Which formula does entry 10 have?

Be2Ni2Pd